No. 1
Density functional theory data (PBE) for ReTc2 after structural relaxation.

Calculated values
Formation energy, kcal/mol of atoms: 13.73
Total magnetization, μB per formula unit: 0.00
DOS(E_F), states/eV/cell: 13.86
Energy above the most stable polymorph in this dataset, eV/atom: 0.596

a = 5.929 Å, b = 5.929 Å, c = 5.929 Å
α = 90.00°, β = 90.00°, γ = 90.00°
Space group Fm-3m (No. 225)
One atom of each set of equivalent atoms:
Re1 0.000 0.000 0.000
Tc1 0.250 0.250 0.250

---

No. 2
Density functional theory data (PBE) for Re5Tc after structural relaxation.

Calculated values
Formation energy, kcal/mol of atoms: 14.46
Total magnetization, μB per formula unit: 0.00
DOS(E_F), states/eV/cell: 3.80
Energy above the most stable polymorph in this dataset, eV/atom: 0.631

a = 5.0576 Å, b = 5.0576 Å, c = 4.4904 Å
α = 90.00°, β = 90.00°, γ = 120.00°
Space group P6/mmm (No. 191)
One atom of each set of equivalent atoms:
Re1 0.0000 0.5000 0.0000
Re2 0.3333 0.6667 0.5000
Tc1 0.0000 0.0000 0.5000

---

No. 3
Density functional theory data (PBE) for Re5Tc after structural relaxation.

Calculated values
Formation energy, kcal/mol of atoms: 5.68
Total magnetization, μB per formula unit: 0.00
DOS(E_F), states/eV/cell: 9.18
Energy above the most stable polymorph in this dataset, eV/atom: 0.250

a = 4.432 Å, b = 13.739 Å, c = 2.991 Å
α = 90.00°, β = 90.00°, γ = 90.00°
Space group Cmmm (No. 65)
One atom of each set of equivalent atoms:
Re1 0.000 0.000 0.000
Re2 0.000 0.153 0.500
Re3 0.000 0.319 0.000
Tc1 0.000 0.500 0.500

---

No. 4
Density functional theory data (PBE) for ReTc3 after structural relaxation.

Calculated values
Formation energy, kcal/mol of atoms: 6.20
Total magnetization, μB per formula unit: 0.00
DOS(E_F), states/eV/cell: 9.85
Energy above the most stable polymorph in this dataset, eV/atom: 0.273

a = 2.933 Å, b = 4.513 Å, c = 8.979 Å
α = 90.00°, β = 90.00°, γ = 90.00°
Space group Cmmm (No. 65)
One atom of each set of equivalent atoms:
Re1 0.000 0.000 0.000
Tc1 0.000 0.000 0.500
Tc2 0.000 0.500 0.251

---

No. 5
Density functional theory data (PBE) for Re3Tc after structural relaxation.

Calculated values
Formation energy, kcal/mol of atoms: 1.53
Total magnetization, μB per formula unit: 0.00
DOS(E_F), states/eV/cell: 3.28
Energy above the most stable polymorph in this dataset, eV/atom: 0.067

a = 2.766 Å, b = 2.766 Å, c = 7.798 Å
α = 90.00°, β = 90.00°, γ = 90.00°
Space group P4/mmm (No. 123)
One atom of each set of equivalent atoms:
Re1 0.000 0.000 0.000
Re2 0.500 0.500 0.250
Tc1 0.000 0.000 0.500

---

No. 6
Density functional theory data (PBE) for Re2Tc after structural relaxation.

Calculated values
Formation energy, kcal/mol of atoms: 3.26
Total magnetization, μB per formula unit: 0.00
DOS(E_F), states/eV/cell: 4.27
Energy above the most stable polymorph in this dataset, eV/atom: 0.145

a = 4.3501 Å, b = 4.3501 Å, c = 5.4939 Å
α = 90.00°, β = 90.00°, γ = 120.00°
Space group P6_3/mmc (No. 194)
One atom of each set of equivalent atoms:
Re1 0.0000 0.0000 0.0000
Re2 0.3333 0.6667 0.2500
Tc1 0.3333 0.6667 0.7500

---

No. 7
Density functional theory data (PBE) for Re2Tc3 after structural relaxation.

Calculated values
Formation energy, kcal/mol of atoms: 7.70
Total magnetization, μB per formula unit: 0.00
DOS(E_F), states/eV/cell: 32.18
Energy above the most stable polymorph in this dataset, eV/atom: 0.269

a = 11.626 Å, b = 19.128 Å, c = 2.804 Å
α = 90.00°, β = 90.00°, γ = 90.00°
Space group Fdd2 (No. 43)
One atom of each set of equivalent atoms:
Re1 0.069 0.208 0.000
Tc1 0.000 0.000 0.183
Tc2 0.119 0.345 0.844

---

No. 8
Density functional theory data (PBE) for Re3Tc5 after structural relaxation.

Calculated values
Formation energy, kcal/mol of atoms: 0.19
Total magnetization, μB per formula unit: 0.00
DOS(E_F), states/eV/cell: 8.57
Energy above the most stable polymorph in this dataset, eV/atom: 0.000

a = 2.764 Å, b = 4.443 Å, c = 9.588 Å
α = 90.00°, β = 90.00°, γ = 90.00°
Space group Pmm2 (No. 25)
One atom of each set of equivalent atoms:
Re1 0.000 0.000 0.000
Re2 0.000 0.500 0.167
Re3 0.500 0.000 0.252
Tc1 0.000 0.000 0.501
Tc2 0.000 0.500 0.667
Tc3 0.500 0.000 0.750
Tc4 0.500 0.500 0.419
Tc5 0.500 0.500 0.917